1.
{"formula": "AlCuO", "functional": "PBE", "state": "optimized geometry", "cell": [[1.429, 0.825, 10.754], [-1.429, 0.825, 10.754], [0.000, -1.651, 10.754]], "species": ["Al", "Al", "Cu", "Cu", "O", "O"], "frac_coords": [[0.097, 0.097, 0.097], [0.903, 0.903, 0.903], [0.364, 0.364, 0.364], [0.636, 0.636, 0.636], [0.214, 0.214, 0.214], [0.786, 0.786, 0.786]], "polymorph_energy_mev_per_atom": 20.3, "dos_at_fermi_per_ev_cell": 1.47, "vol_a3_per_atom": 12.685, "formation_energy_uncorrected_mev_per_atom": -1438, "space_group": "R-3m (166)", "density_g_cm3": 4.648, "energy_ev_per_cell": -34.22}

2.
{"formula": "ThTiPb2", "functional": "PBE", "state": "optimized geometry", "cell": [[3.891, 0.000, 0.000], [0.000, 3.891, 0.000], [0.000, 0.000, 6.811]], "species": ["Th", "Ti", "Pb", "Pb"], "frac_coords": [[0.000, 0.000, 0.000], [0.000, 0.000, 0.500], [0.500, 0.500, 0.281], [0.500, 0.500, 0.719]], "dos_at_fermi_per_ev_cell": 4.05, "vol_a3_per_atom": 25.782, "e_form_ev_per_atom": -0.009, "space_group": "P4/mmm (123)", "density_g_cm3": 11.179, "energy_ev_per_cell": -22.77}

3.
{"formula": "Tl7HgPb4", "functional": "PBE", "state": "optimized geometry", "cell": [[3.576, 0.000, 0.000], [-1.788, 3.097, 0.000], [0.000, 0.000, 33.365]], "species": ["Tl", "Tl", "Tl", "Tl", "Tl", "Tl", "Tl", "Hg", "Pb", "Pb", "Pb", "Pb"], "frac_coords": [[0.000, 0.000, 0.000], [0.000, 0.000, 0.252], [0.000, 0.000, 0.748], [0.333, 0.667, 0.168], [0.333, 0.667, 0.421], [0.667, 0.333, 0.579], [0.667, 0.333, 0.832], [0.000, 0.000, 0.500], [0.333, 0.667, 0.664], [0.333, 0.667, 0.916], [0.667, 0.333, 0.084], [0.667, 0.333, 0.336]], "polymorph_energy_mev_per_atom": 0.0, "dos_at_fermi_per_ev_cell": 5.83, "vol_a3_per_atom": 30.787, "e_form_ev_per_atom": 0.006, "space_group": "P-3m1 (164)", "density_g_cm3": 11.057, "energy_ev_per_cell": -31.63}

4.
{"formula": "AcTb3Pm5", "functional": "PBE", "state": "optimized geometry", "cell": [[6.142, -5.899, 0.000], [6.142, 5.899, 0.000], [-2.491, 0.000, 9.763]], "species": ["Ac", "Ac", "Tb", "Tb", "Tb", "Tb", "Tb", "Tb", "Pm", "Pm", "Pm", "Pm", "Pm", "Pm", "Pm", "Pm", "Pm", "Pm"], "frac_coords": [[0.236, 0.236, 0.228], [0.764, 0.764, 0.772], [0.000, 0.000, 0.000], [0.005, 0.005, 0.344], [0.498, 0.498, 0.828], [0.500, 0.500, 0.500], [0.502, 0.502, 0.172], [0.995, 0.995, 0.656], [0.110, 0.616, 0.370], [0.247, 0.247, 0.902], [0.254, 0.746, 0.000], [0.263, 0.263, 0.584], [0.384, 0.890, 0.630], [0.616, 0.110, 0.370], [0.737, 0.737, 0.416], [0.746, 0.254, 0.000], [0.753, 0.753, 0.098], [0.890, 0.384, 0.630]], "polymorph_energy_mev_per_atom": 450.9, "dos_at_fermi_per_ev_cell": 26.44, "vol_a3_per_atom": 39.311, "e_form_ev_per_atom": 0.526, "space_group": "C2/m (12)", "density_g_cm3": 6.706, "energy_ev_per_cell": -74.04}

5.
{"formula": "CaCuClO2", "functional": "PBE", "state": "optimized geometry", "cell": [[1.873, -5.734, 0.000], [1.873, 5.734, 0.000], [0.000, 0.000, 6.750]], "species": ["Ca", "Ca", "Cu", "Cu", "Cl", "Cl", "O", "O", "O", "O"], "frac_coords": [[0.223, 0.777, 0.750], [0.777, 0.223, 0.250], [0.500, 0.500, 0.000], [0.500, 0.500, 0.500], [0.039, 0.961, 0.250], [0.961, 0.039, 0.750], [0.345, 0.655, 0.052], [0.345, 0.655, 0.448], [0.655, 0.345, 0.552], [0.655, 0.345, 0.948]], "polymorph_energy_mev_per_atom": 0.0, "dos_at_fermi_per_ev_cell": 6.83, "vol_a3_per_atom": 14.497, "formation_energy_uncorrected_mev_per_atom": -1340, "space_group": "Cmcm (63)", "density_g_cm3": 3.919, "energy_ev_per_cell": -49.12}

6.
{"formula": "Mn2CoSnC", "functional": "PBE", "state": "optimized geometry", "cell": [[3.877, 0.000, 0.000], [0.000, 3.877, 0.000], [0.000, 0.000, 3.925]], "species": ["Mn", "Mn", "Co", "Sn", "C"], "frac_coords": [[0.000, 0.500, 0.000], [0.500, 0.000, 0.000], [0.000, 0.000, 0.500], [0.500, 0.500, 0.500], [0.000, 0.000, 0.000]], "dos_at_fermi_per_ev_cell": 4.30, "vol_a3_per_atom": 11.800, "e_form_ev_per_atom": -0.008, "space_group": "P4/mmm (123)", "density_g_cm3": 8.430, "energy_ev_per_cell": -38.71}

7.
{"formula": "SrNb3B", "functional": "PBE", "state": "optimized geometry", "cell": [[4.813, 0.000, 0.000], [0.000, 4.813, 0.000], [0.000, 0.000, 4.813]], "species": ["Sr", "Nb", "Nb", "Nb", "B"], "frac_coords": [[0.000, 0.000, 0.000], [0.000, 0.000, 0.500], [0.000, 0.500, 0.000], [0.500, 0.000, 0.000], [0.500, 0.500, 0.500]], "polymorph_energy_mev_per_atom": 2780.1, "dos_at_fermi_per_ev_cell": 5.30, "vol_a3_per_atom": 22.292, "e_form_ev_per_atom": 3.345, "space_group": "Pm-3m (221)", "density_g_cm3": 5.619, "energy_ev_per_cell": -21.84}

8.
{"formula": "Rh2SeCl", "functional": "PBE", "state": "optimized geometry", "cell": [[-1.470, 2.014, 5.668], [1.470, -2.014, 5.668], [1.470, 2.014, -5.668]], "species": ["Rh", "Rh", "Se", "Cl"], "frac_coords": [[0.000, 0.000, 0.000], [0.782, 0.282, 0.500], [0.205, 0.705, 0.500], [0.486, 0.486, 0.000]], "polymorph_energy_mev_per_atom": 262.8, "dos_at_fermi_per_ev_cell": 4.37, "vol_a3_per_atom": 16.789, "formation_energy_uncorrected_mev_per_atom": 203, "space_group": "Imm2 (44)", "density_g_cm3": 7.918, "energy_ev_per_cell": -19.22}

9.
{"formula": "OsC3I", "functional": "PBE", "state": "optimized geometry", "cell": [[4.121, 0.000, 0.000], [0.000, 4.121, 0.000], [0.000, 0.000, 4.121]], "species": ["Os", "C", "C", "C", "I"], "frac_coords": [[0.000, 0.000, 0.000], [0.000, 0.000, 0.500], [0.000, 0.500, 0.000], [0.500, 0.000, 0.000], [0.500, 0.500, 0.500]], "polymorph_energy_mev_per_atom": 0.0, "dos_at_fermi_per_ev_cell": 2.59, "vol_a3_per_atom": 14.000, "formation_energy_uncorrected_mev_per_atom": 2078, "space_group": "Pm-3m (221)", "density_g_cm3": 8.378, "energy_ev_per_cell": -30.06}

10.
{"formula": "Tl2SCl", "functional": "PBE", "state": "optimized geometry", "cell": [[5.275, 0.000, 0.000], [0.000, 5.275, 0.000], [0.000, 0.000, 3.737]], "species": ["Tl", "Tl", "S", "Cl"], "frac_coords": [[0.000, 0.500, 0.000], [0.500, 0.000, 0.000], [0.000, 0.000, 0.500], [0.500, 0.500, 0.500]], "polymorph_energy_mev_per_atom": 155.7, "dos_at_fermi_per_ev_cell": 2.81, "vol_a3_per_atom": 26.002, "formation_energy_uncorrected_mev_per_atom": -392, "space_group": "P4/mmm (123)", "density_g_cm3": 7.604, "energy_ev_per_cell": -12.27}

11.
{"formula": "Na3Cu4As4", "functional": "PBE", "state": "optimized geometry", "cell": [[-2.129, 3.328, 6.826], [2.129, -3.328, 6.826], [2.129, 3.328, -6.826]], "species": ["Na", "Na", "Na", "Cu", "Cu", "Cu", "Cu", "As", "As", "As", "As"], "frac_coords": [[0.000, 0.000, 0.000], [0.377, 0.877, 0.500], [0.623, 0.123, 0.500], [0.019, 0.327, 0.692], [0.365, 0.673, 0.692], [0.635, 0.327, 0.308], [0.981, 0.673, 0.308], [0.222, 0.222, 0.000], [0.314, 0.500, 0.814], [0.686, 0.500, 0.186], [0.778, 0.778, 0.000]], "polymorph_energy_mev_per_atom": 0.0, "dos_at_fermi_per_ev_cell": 3.57, "vol_a3_per_atom": 17.581, "e_form_ev_per_atom": -0.214, "space_group": "Immm (71)", "density_g_cm3": 5.348, "energy_ev_per_cell": -41.29}

12.
{"formula": "RbCd2Sn3", "functional": "PBE", "state": "optimized geometry", "cell": [[-2.450, 2.450, 15.470], [2.450, -2.450, 15.470], [2.450, 2.450, -15.470]], "species": ["Rb", "Rb", "Cd", "Cd", "Cd", "Cd", "Sn", "Sn", "Sn", "Sn", "Sn", "Sn"], "frac_coords": [[0.149, 0.149, 0.000], [0.851, 0.851, 0.000], [0.250, 0.750, 0.500], [0.397, 0.397, 0.000], [0.603, 0.603, 0.000], [0.750, 0.250, 0.500], [0.047, 0.547, 0.500], [0.304, 0.304, 0.000], [0.453, 0.953, 0.500], [0.547, 0.047, 0.500], [0.696, 0.696, 0.000], [0.953, 0.453, 0.500]], "polymorph_energy_mev_per_atom": 0.0, "dos_at_fermi_per_ev_cell": 5.00, "vol_a3_per_atom": 30.962, "e_form_ev_per_atom": -0.086, "space_group": "I4/mmm (139)", "density_g_cm3": 5.957, "energy_ev_per_cell": -30.64}

13.
{"formula": "Cs3Tl3NiBr8", "functional": "PBE", "state": "optimized geometry", "cell": [[4.969, 2.869, 7.649], [-4.969, 2.869, 7.649], [0.000, -5.738, 7.649]], "species": ["Cs", "Cs", "Cs", "Tl", "Tl", "Tl", "Ni", "Br", "Br", "Br", "Br", "Br", "Br", "Br", "Br"], "frac_coords": [[0.000, 0.500, 0.500], [0.500, 0.000, 0.500], [0.500, 0.500, 0.000], [0.000, 0.000, 0.500], [0.000, 0.500, 0.000], [0.500, 0.000, 0.000], [0.000, 0.000, 0.000], [0.180, 0.808, 0.808], [0.192, 0.192, 0.820], [0.192, 0.820, 0.192], [0.242, 0.242, 0.242], [0.758, 0.758, 0.758], [0.808, 0.180, 0.808], [0.808, 0.808, 0.180], [0.820, 0.192, 0.192]], "vol_a3_per_atom": 43.612, "formation_energy_uncorrected_mev_per_atom": -1081, "space_group": "R-3m (166)", "density_g_cm3": 4.340, "energy_ev_per_cell": -45.04}

14.
{"formula": "SbRhBr2", "functional": "PBE", "state": "optimized geometry", "cell": [[4.857, 0.000, 0.000], [0.000, 3.604, 0.000], [-2.120, 0.000, 5.108]], "species": ["Sb", "Rh", "Br", "Br"], "frac_coords": [[0.000, 0.000, 0.000], [0.000, 0.500, 0.500], [0.500, 0.000, 0.500], [0.500, 0.500, 0.000]], "polymorph_energy_mev_per_atom": 835.5, "dos_at_fermi_per_ev_cell": 2.54, "vol_a3_per_atom": 22.353, "formation_energy_uncorrected_mev_per_atom": 394, "space_group": "P2/m (10)", "density_g_cm3": 7.140, "energy_ev_per_cell": -13.24}

15.
{"formula": "CuSb", "functional": "PBE", "state": "optimized geometry", "cell": [[-1.966, 1.966, 5.085], [1.966, -1.966, 5.085], [1.966, 1.966, -5.085]], "species": ["Cu", "Cu", "Sb", "Sb"], "frac_coords": [[0.375, 0.625, 0.750], [0.625, 0.375, 0.250], [0.125, 0.875, 0.250], [0.875, 0.125, 0.750]], "dos_at_fermi_per_ev_cell": 1.47, "vol_a3_per_atom": 19.653, "formation_energy_uncorrected_mev_per_atom": 292, "space_group": "I4_1/amd (141)", "density_g_cm3": 7.828, "energy_ev_per_cell": -15.27}

16.
{"formula": "YSc2Hg", "functional": "PBE", "state": "optimized geometry", "cell": [[0.000, 3.666, 3.666], [3.666, 0.000, 3.666], [3.666, 3.666, 0.000]], "species": ["Y", "Sc", "Sc", "Hg"], "frac_coords": [[0.000, 0.000, 0.000], [0.500, 0.500, 0.500], [0.750, 0.750, 0.750], [0.250, 0.250, 0.250]], "dos_at_fermi_per_ev_cell": 6.66, "vol_a3_per_atom": 24.639, "e_form_ev_per_atom": -0.074, "space_group": "F-43m (216)", "density_g_cm3": 6.393, "energy_ev_per_cell": -19.72}

17.
{"formula": "Pr2Ni3P", "functional": "PBE", "state": "optimized geometry", "cell": [[0.000, 4.033, 6.981], [4.029, 0.000, 6.981], [4.029, 4.033, 0.000]], "species": ["Pr", "Pr", "Pr", "Pr", "Ni", "Ni", "Ni", "Ni", "Ni", "Ni", "P", "P"], "frac_coords": [[0.241, 0.759, 0.759], [0.250, 0.250, 0.250], [0.750, 0.750, 0.750], [0.759, 0.241, 0.241], [0.172, 0.172, 0.828], [0.173, 0.656, 0.344], [0.344, 0.827, 0.173], [0.656, 0.173, 0.827], [0.827, 0.344, 0.656], [0.828, 0.828, 0.172], [0.333, 0.333, 0.667], [0.667, 0.667, 0.333]], "dos_at_fermi_per_ev_cell": 7.79, "vol_a3_per_atom": 18.906, "e_form_ev_per_atom": -0.663, "space_group": "Fmmm (69)", "density_g_cm3": 7.156, "energy_ev_per_cell": -72.58}

18.
{"formula": "V4Ga2N", "functional": "PBE", "state": "optimized geometry", "cell": [[0.000, 5.581, 5.581], [5.581, 0.000, 5.581], [5.581, 5.581, 0.000]], "species": ["V", "V", "V", "V", "V", "V", "V", "V", "V", "V", "V", "V", "V", "V", "V", "V", "Ga", "Ga", "Ga", "Ga", "Ga", "Ga", "Ga", "Ga", "N", "N", "N", "N"], "frac_coords": [[0.000, 0.000, 0.000], [0.000, 0.000, 0.500], [0.000, 0.500, 0.000], [0.180, 0.180, 0.570], [0.180, 0.570, 0.180], [0.180, 0.570, 0.570], [0.430, 0.430, 0.820], [0.430, 0.820, 0.430], [0.430, 0.820, 0.820], [0.500, 0.000, 0.000], [0.570, 0.180, 0.180], [0.570, 0.180, 0.570], [0.570, 0.570, 0.180], [0.820, 0.430, 0.430], [0.820, 0.430, 0.820], [0.820, 0.820, 0.430], [0.152, 0.783, 0.783], [0.217, 0.217, 0.217], [0.217, 0.217, 0.848], [0.217, 0.848, 0.217], [0.783, 0.152, 0.783], [0.783, 0.783, 0.152], [0.783, 0.783, 0.783], [0.848, 0.217, 0.217], [0.000, 0.500, 0.500], [0.500, 0.000, 0.500], [0.500, 0.500, 0.000], [0.500, 0.500, 0.500]], "polymorph_energy_mev_per_atom": 0.0, "dos_at_fermi_per_ev_cell": 16.89, "vol_a3_per_atom": 12.417, "formation_energy_uncorrected_mev_per_atom": -454, "space_group": "Fd-3m (227)", "density_g_cm3": 6.824, "energy_ev_per_cell": -216.12}

19.
{"formula": "Sm2BeSiNi6", "functional": "PBE", "state": "optimized geometry", "cell": [[0.000, 4.235, 4.235], [4.235, 0.000, 4.235], [4.235, 4.235, 0.000]], "species": ["Sm", "Sm", "Be", "Si", "Ni", "Ni", "Ni", "Ni", "Ni", "Ni"], "frac_coords": [[0.250, 0.250, 0.250], [0.750, 0.750, 0.750], [0.000, 0.000, 0.000], [0.500, 0.500, 0.500], [0.239, 0.239, 0.761], [0.239, 0.761, 0.239], [0.239, 0.761, 0.761], [0.761, 0.239, 0.239], [0.761, 0.239, 0.761], [0.761, 0.761, 0.239]], "dos_at_fermi_per_ev_cell": 8.90, "vol_a3_per_atom": 15.195, "formation_energy_uncorrected_mev_per_atom": -247, "space_group": "Fm-3m (225)", "density_g_cm3": 7.540, "energy_ev_per_cell": -55.75}

20.
{"formula": "NaSm3Th4Se8", "functional": "PBE", "state": "optimized geometry", "cell": [[4.116, 2.377, 7.067], [-4.116, 2.377, 7.067], [0.000, -4.753, 7.067]], "species": ["Na", "Sm", "Sm", "Sm", "Th", "Th", "Th", "Th", "Se", "Se", "Se", "Se", "Se", "Se", "Se", "Se"], "frac_coords": [[0.000, 0.000, 0.000], [0.000, 0.500, 0.500], [0.500, 0.000, 0.500], [0.500, 0.500, 0.000], [0.000, 0.000, 0.500], [0.000, 0.500, 0.000], [0.500, 0.000, 0.000], [0.500, 0.500, 0.500], [0.245, 0.245, 0.752], [0.245, 0.752, 0.245], [0.248, 0.755, 0.755], [0.252, 0.252, 0.252], [0.748, 0.748, 0.748], [0.752, 0.245, 0.245], [0.755, 0.248, 0.755], [0.755, 0.755, 0.248]], "dos_at_fermi_per_ev_cell": 8.68, "vol_a3_per_atom": 25.927, "formation_energy_uncorrected_mev_per_atom": -1627, "space_group": "R-3m (166)", "density_g_cm3": 8.142, "energy_ev_per_cell": -99.07}